Computed, not measured: crystalline Mg2MnN2 at its relaxed geometry at the GGA-PBE level of DFT.

Cell lengths 9.9676, 4.3463, 6.1816 Å; angles 90.00, 116.23, 90.00 degrees
With the nearest neighbours (Å) after each atom.
Space group C2/m (No. 12)
Symmetry-distinct sites (fractional):
Mg: 0.0194 0.0000 0.2458 [4 per cell]  4 N 2.12-2.23
Mg: 0.1728 0.5000 0.0956 [4 per cell]  5 N 2.18-2.32
Mn: 0.1367 0.5000 0.6202 [4 per cell]  3 N 1.84-1.93
N: 0.0139 0.5000 0.2767 [4 per cell]  2 Mn 1.87-1.93
N: 0.1811 0.0000 0.1107 [4 per cell]  1 Mn 1.84

Results
M_tot = 0.464 μB per atom
DFT total energy = -6.320 eV per atom